Density functional theory data (PBE) for BaCoPCl2 after structural relaxation.

Summary:
For the total DFT energy (no corrections), the calculation gives -4.507 eV/atom. The calculation puts the energy above the lowest structure with this stoichiometry at 0.000 eV/atom. For the uncorrected formation energy, the calculation gives -0.88 eV per atom. For the magnetization, the calculation gives 1.326 μB/f.u. Its space-group type is No. 123.

Geometry as CIF:
```
data_BaCoPCl2
_symmetry_space_group_name_H-M 'P 1'
_symmetry_Int_Tables_number 1
_cell_length_a 5.0558
_cell_length_b 5.0558
_cell_length_c 4.4103
_cell_angle_alpha 90.00
_cell_angle_beta 90.00
_cell_angle_gamma 90.00
loop_
_symmetry_equiv_pos_as_xyz
'x,y,z'
loop_
_atom_site_label
_atom_site_type_symbol
_atom_site_fract_x
_atom_site_fract_y
_atom_site_fract_z
_atom_site_occupancy
P1 P 0.0000 0.0000 0.5000 1
Co1 Co 0.0000 0.0000 0.0000 1
Ba1 Ba 0.5000 0.5000 0.5000 1
Cl1 Cl 0.0000 0.5000 0.0000 1
Cl2 Cl 0.5000 0.0000 0.0000 1
```



Density functional theory data (PBE) for BaCoPCl2 after structural relaxation.

Summary:
For the total DFT energy (no corrections), the calculation gives -3.266 eV/atom. The calculation puts the energy above the lowest structure with this stoichiometry at 1.242 eV/atom. For the uncorrected formation energy, the calculation gives 0.36 eV per atom. For the magnetization, the calculation gives 3.211 μB/f.u. Its space-group type is No. 123.

Geometry as CIF:
```
data_BaCoPCl2
_symmetry_space_group_name_H-M 'P 1'
_symmetry_Int_Tables_number 1
_cell_length_a 5.7798
_cell_length_b 5.7798
_cell_length_c 6.5272
_cell_angle_alpha 90.00
_cell_angle_beta 90.00
_cell_angle_gamma 90.00
loop_
_symmetry_equiv_pos_as_xyz
'x,y,z'
loop_
_atom_site_label
_atom_site_type_symbol
_atom_site_fract_x
_atom_site_fract_y
_atom_site_fract_z
_atom_site_occupancy
P1 P 0.0000 0.0000 0.5000 1
Co1 Co 0.5000 0.5000 0.5000 1
Ba1 Ba 0.0000 0.0000 0.0000 1
Cl1 Cl 0.0000 0.5000 0.0000 1
Cl2 Cl 0.5000 0.0000 0.0000 1
```



Density functional theory data (PBE) for BaCoP2Cl after structural relaxation.

Summary:
For the total DFT energy (no corrections), the calculation gives -4.987 eV/atom. The calculation puts the energy above the lowest structure with this stoichiometry at 0.000 eV/atom. For the uncorrected formation energy, the calculation gives -0.65 eV per atom. For the magnetization, the calculation gives 0.000 μB/f.u. Its space-group type is No. 123.

Geometry as CIF:
```
data_BaCoP2Cl
_symmetry_space_group_name_H-M 'P 1'
_symmetry_Int_Tables_number 1
_cell_length_a 4.3058
_cell_length_b 4.3058
_cell_length_c 6.3839
_cell_angle_alpha 90.00
_cell_angle_beta 90.00
_cell_angle_gamma 90.00
loop_
_symmetry_equiv_pos_as_xyz
'x,y,z'
loop_
_atom_site_label
_atom_site_type_symbol
_atom_site_fract_x
_atom_site_fract_y
_atom_site_fract_z
_atom_site_occupancy
P1 P 0.0000 0.5000 0.0000 1
P2 P 0.5000 0.0000 0.0000 1
Co1 Co 0.0000 0.0000 0.0000 1
Ba1 Ba 0.5000 0.5000 0.5000 1
Cl1 Cl 0.0000 0.0000 0.5000 1
```



Density functional theory data (PBE) for BaCoP2Cl after structural relaxation.

Summary:
For the total DFT energy (no corrections), the calculation gives -3.179 eV/atom. The calculation puts the energy above the lowest structure with this stoichiometry at 1.808 eV/atom. For the uncorrected formation energy, the calculation gives 1.16 eV per atom. For the magnetization, the calculation gives 1.491 μB/f.u. Its space-group type is No. 123.

Geometry as CIF:
```
data_BaCoP2Cl
_symmetry_space_group_name_H-M 'P 1'
_symmetry_Int_Tables_number 1
_cell_length_a 6.3616
_cell_length_b 6.3616
_cell_length_c 5.8407
_cell_angle_alpha 90.00
_cell_angle_beta 90.00
_cell_angle_gamma 90.00
loop_
_symmetry_equiv_pos_as_xyz
'x,y,z'
loop_
_atom_site_label
_atom_site_type_symbol
_atom_site_fract_x
_atom_site_fract_y
_atom_site_fract_z
_atom_site_occupancy
P1 P 0.0000 0.5000 0.0000 1
P2 P 0.5000 0.0000 0.0000 1
Co1 Co 0.5000 0.5000 0.5000 1
Ba1 Ba 0.0000 0.0000 0.0000 1
Cl1 Cl 0.0000 0.0000 0.5000 1
```



Density functional theory data (PBE) for BaCo2PbCl8 after structural relaxation.

Summary:
For the total DFT energy (no corrections), the calculation gives -4.014 eV/atom. For the uncorrected formation energy, the calculation gives -1.13 eV per atom. For the magnetization, the calculation gives 6.000 μB/f.u. Its space-group type is No. 164.

Geometry as CIF:
```
data_BaCo2PbCl8
_symmetry_space_group_name_H-M 'P 1'
_symmetry_Int_Tables_number 1
_cell_length_a 7.2765
_cell_length_b 7.2765
_cell_length_c 9.0640
_cell_angle_alpha 90.00
_cell_angle_beta 90.00
_cell_angle_gamma 120.00
loop_
_symmetry_equiv_pos_as_xyz
'x,y,z'
loop_
_atom_site_label
_atom_site_type_symbol
_atom_site_fract_x
_atom_site_fract_y
_atom_site_fract_z
_atom_site_occupancy
Ba1 Ba 0.0000 0.0000 0.5000 1
Co1 Co 0.3333 0.6667 0.6924 1
Co2 Co 0.6667 0.3333 0.3076 1
Pb1 Pb 0.0000 0.0000 0.0000 1
Cl1 Cl 0.1629 0.3258 0.7731 1
Cl2 Cl 0.1629 0.8371 0.7731 1
Cl3 Cl 0.6742 0.8371 0.7731 1
Cl4 Cl 0.3258 0.1629 0.2269 1
Cl5 Cl 0.6667 0.3333 0.5493 1
Cl6 Cl 0.3333 0.6667 0.4507 1
Cl7 Cl 0.8371 0.6742 0.2269 1
Cl8 Cl 0.8371 0.1629 0.2269 1
```



Density functional theory data (PBE) for BaCo2PdCl8 after structural relaxation.

Summary:
For the total DFT energy (no corrections), the calculation gives -3.950 eV/atom. For the uncorrected formation energy, the calculation gives -0.94 eV per atom. For the magnetization, the calculation gives 3.992 μB/f.u. Its space-group type is No. 164.

Geometry as CIF:
```
data_BaCo2PdCl8
_symmetry_space_group_name_H-M 'P 1'
_symmetry_Int_Tables_number 1
_cell_length_a 7.0722
_cell_length_b 7.0722
_cell_length_c 8.2781
_cell_angle_alpha 90.00
_cell_angle_beta 90.00
_cell_angle_gamma 120.00
loop_
_symmetry_equiv_pos_as_xyz
'x,y,z'
loop_
_atom_site_label
_atom_site_type_symbol
_atom_site_fract_x
_atom_site_fract_y
_atom_site_fract_z
_atom_site_occupancy
Ba1 Ba 0.0000 0.0000 0.5000 1
Co1 Co 0.3333 0.6667 0.7277 1
Co2 Co 0.6667 0.3333 0.2723 1
Pd1 Pd 0.0000 0.0000 0.0000 1
Cl1 Cl 0.1594 0.3188 0.8073 1
Cl2 Cl 0.1594 0.8406 0.8073 1
Cl3 Cl 0.6812 0.8406 0.8073 1
Cl4 Cl 0.3188 0.1594 0.1927 1
Cl5 Cl 0.6667 0.3333 0.5354 1
Cl6 Cl 0.3333 0.6667 0.4646 1
Cl7 Cl 0.8406 0.6812 0.1927 1
Cl8 Cl 0.8406 0.1594 0.1927 1
```